(1)
# PBE TbPu3Sb4, relaxed
data_TbPu3Sb4
_cell_length_a 4.4182
_cell_length_b 7.6507
_cell_length_c 7.6507
_cell_angle_alpha 109.45
_cell_angle_beta 90.00
_cell_angle_gamma 90.00
_symmetry_space_group_name_H-M 'P 1'
_symmetry_Int_Tables_number 1
loop_
_symmetry_equiv_pos_as_xyz
'x,y,z'
loop_
_atom_site_label
_atom_site_type_symbol
_atom_site_fract_x
_atom_site_fract_y
_atom_site_fract_z
Pu1 Pu 0.0000 0.0000 0.5000
Pu2 Pu 0.0000 0.5000 0.0000
Pu3 Pu 0.5000 0.5000 0.5000
Tb1 Tb 0.5000 0.0000 0.0000
Sb1 Sb 0.0000 0.7493 0.7493
Sb2 Sb 0.5000 0.7499 0.2501
Sb3 Sb 0.5000 0.2501 0.7499
Sb4 Sb 0.0000 0.2507 0.2507
# * raw formation energy: -0.728 eV/atom
# * ΔE to the lowest computed polymorph: 0.00 eV/f.u.
# * DFT total energy: -0.6425 Ry/atom

(2)
# PBE TbPuSb2, relaxed
data_TbPuSb2
_cell_length_a 4.4049
_cell_length_b 4.4049
_cell_length_c 7.8163
_cell_angle_alpha 73.63
_cell_angle_beta 73.63
_cell_angle_gamma 60.00
_symmetry_space_group_name_H-M 'P 1'
_symmetry_Int_Tables_number 1
loop_
_symmetry_equiv_pos_as_xyz
'x,y,z'
loop_
_atom_site_label
_atom_site_type_symbol
_atom_site_fract_x
_atom_site_fract_y
_atom_site_fract_z
Tb1 Tb 0.4978 0.4978 0.5065
Pu1 Pu 0.6689 0.6689 0.9934
Sb1 Sb 0.0818 0.0818 0.7545
Sb2 Sb 0.2515 0.2515 0.2456
# * raw formation energy: -0.762 eV/atom
# * ΔE to the lowest computed polymorph: 0.43 eV/f.u.
# * DFT total energy: -0.5559 Ry/atom

(3)
# PBE TbPu3Sb4, relaxed
data_TbPu3Sb4
_cell_length_a 7.6586
_cell_length_b 7.6532
_cell_length_c 8.8418
_cell_angle_alpha 90.00
_cell_angle_beta 90.00
_cell_angle_gamma 109.49
_symmetry_space_group_name_H-M 'P 1'
_symmetry_Int_Tables_number 1
loop_
_symmetry_equiv_pos_as_xyz
'x,y,z'
loop_
_atom_site_label
_atom_site_type_symbol
_atom_site_fract_x
_atom_site_fract_y
_atom_site_fract_z
Pu1 Pu 0.2500 0.5000 0.8752
Pu2 Pu 0.7500 0.5000 0.6262
Pu3 Pu 0.2500 0.0000 0.6261
Pu4 Pu 0.7500 0.5000 0.1248
Pu5 Pu 0.2500 0.5000 0.3738
Pu6 Pu 0.7500 0.0000 0.3739
Tb1 Tb 0.7500 0.0000 0.8760
Tb2 Tb 0.2500 0.0000 0.1240
Sb1 Sb 0.9997 0.7509 0.3755
Sb2 Sb 0.5000 0.7492 0.1244
Sb3 Sb 0.4997 0.7509 0.6245
Sb4 Sb 0.0000 0.2508 0.1244
Sb5 Sb 0.5000 0.2508 0.8756
Sb6 Sb 0.5003 0.2491 0.3755
Sb7 Sb 0.0003 0.2491 0.6245
Sb8 Sb 0.0000 0.7492 0.8756
# * raw formation energy: -0.722 eV/atom
# * ΔE to the lowest computed polymorph: 0.05 eV/f.u.
# * DFT total energy: -0.6421 Ry/atom

(4)
# PBE TbPuSbTe, relaxed
data_TbPuSbTe
_cell_length_a 4.4226
_cell_length_b 4.4226
_cell_length_c 7.6452
_cell_angle_alpha 73.19
_cell_angle_beta 73.19
_cell_angle_gamma 60.00
_symmetry_space_group_name_H-M 'P 1'
_symmetry_Int_Tables_number 1
loop_
_symmetry_equiv_pos_as_xyz
'x,y,z'
loop_
_atom_site_label
_atom_site_type_symbol
_atom_site_fract_x
_atom_site_fract_y
_atom_site_fract_z
Sb1 Sb 0.4429 0.4429 0.6712
Tb1 Tb 0.6964 0.6964 0.9108
Pu1 Pu 0.1923 0.1923 0.4231
Te1 Te 0.9448 0.9448 0.1657
# * raw formation energy: -1.092 eV/atom
# * DFT total energy: -0.5622 Ry/atom